(1)
Entry from Alexandria via LeMat-Bulk: PrNd4Tm6 after structural relaxation (PBE-GGA).

The structure in POSCAR format:
```
PrNd4Tm6
1.0
10.985 0.000 0.000
-5.492 9.513 0.000
0.000 0.000 3.532
Pr Nd Tm
1 4 6
direct
0.000 0.000 0.000
0.333 0.667 0.000
0.398 0.199 0.500
0.801 0.199 0.500
0.801 0.602 0.500
0.009 0.505 0.000
0.172 0.343 0.500
0.172 0.828 0.500
0.495 0.505 0.000
0.495 0.991 0.000
0.657 0.828 0.500
```

Computed properties:
energy relative to the lowest polymorph listed for this composition	0.0	meV/atom


(2)
Entry from Alexandria via LeMat-Bulk: Y4CdSb after structural relaxation (PBE-GGA).

The structure in POSCAR format:
```
Y4CdSb
1.0
0.000 4.479 4.479
4.479 0.000 4.479
4.479 4.479 0.000
Y Cd Sb
4 1 1
direct
0.125 0.125 0.125
0.125 0.125 0.625
0.125 0.625 0.125
0.625 0.125 0.125
0.750 0.750 0.750
0.500 0.500 0.500
```

Computed properties:
formation energy (no corrections)	0.97	eV/f.u.


(3)
Entry from Alexandria via LeMat-Bulk: CaYHf2Si after structural relaxation (PBE-GGA).

The structure in POSCAR format:
```
CaYHf2Si
1.0
5.090 0.000 0.000
0.000 5.090 0.000
0.000 0.000 5.442
Ca Y Hf Si
1 1 2 1
direct
0.000 0.000 0.000
0.500 0.500 0.000
0.000 0.500 0.500
0.500 0.000 0.500
0.500 0.500 0.500
```

Computed properties:
formation energy (no corrections)	0.84	eV/f.u.


(4)
Entry from Alexandria via LeMat-Bulk: CrSb after structural relaxation (PBE-GGA).

The structure in POSCAR format:
```
CrSb
1.0
4.527 0.000 0.000
-2.263 3.920 0.000
0.000 0.000 7.827
Cr Sb
4 4
direct
0.333 0.667 0.104
0.333 0.667 0.396
0.667 0.333 0.604
0.667 0.333 0.896
0.000 0.000 0.000
0.000 0.000 0.500
0.333 0.667 0.750
0.667 0.333 0.250
```

Computed properties:
formation energy (no corrections)	0.67	eV/f.u.


(5)
Entry from Alexandria via LeMat-Bulk: SiHgSe after structural relaxation (PBE-GGA).

The structure in POSCAR format:
```
SiHgSe
1.0
-1.658 1.658 6.782
1.658 -1.658 6.782
1.658 1.658 -6.782
Si Hg Se
1 1 1
direct
0.000 0.000 0.000
0.692 0.692 0.000
0.417 0.417 0.000
```

Computed properties:
energy relative to the lowest polymorph listed for this composition	250.3	meV/atom
formation energy (no corrections)	0.58	eV/f.u.


(6)
Entry from Alexandria via LeMat-Bulk: Sr2ZnGaPd2 after structural relaxation (PBE-GGA).

The structure in POSCAR format:
```
Sr2ZnGaPd2
1.0
-3.181 7.132 3.214
3.181 -7.132 3.214
3.181 7.132 -3.214
Sr Zn Ga Pd
4 2 2 4
direct
0.166 0.247 0.413
0.334 0.747 0.080
0.666 0.253 0.920
0.834 0.753 0.587
0.250 0.250 0.000
0.750 0.750 0.000
0.250 0.750 0.500
0.750 0.250 0.500
0.094 0.742 0.836
0.406 0.242 0.649
0.594 0.758 0.351
0.906 0.258 0.164
```

Computed properties:
DFT total energy	-42.9	eV per cell